# Pm12Ho7Zr PBE optimized geometry
data_Pm12Ho7Zr
_chemical_formula_sum 'Pm12 Ho7 Zr1'
_cell_length_a 11.471
_cell_length_b 11.471
_cell_length_c 11.471
_cell_angle_alpha 116.88
_cell_angle_beta 116.88
_cell_angle_gamma 116.88
_symmetry_space_group_name_H-M 'P 1'
_symmetry_Int_Tables_number 1
_symmetry_space_group_name_Hall 'P 1'
loop_
_atom_site_label
_atom_site_type_symbol
_atom_site_fract_x
_atom_site_fract_y
_atom_site_fract_z
Pm1 Pm 0.000 0.413 0.587
Pm2 Pm 0.000 0.587 0.413
Pm3 Pm 0.074 0.428 0.075
Pm4 Pm 0.075 0.074 0.428
Pm5 Pm 0.413 0.000 0.587
Pm6 Pm 0.413 0.587 0.000
Pm7 Pm 0.428 0.075 0.074
Pm8 Pm 0.572 0.925 0.926
Pm9 Pm 0.587 0.000 0.413
Pm10 Pm 0.587 0.413 0.000
Pm11 Pm 0.925 0.926 0.572
Pm12 Pm 0.926 0.572 0.925
Ho1 Ho 0.000 0.000 0.000
Ho2 Ho 0.142 0.383 0.384
Ho3 Ho 0.383 0.384 0.142
Ho4 Ho 0.384 0.142 0.383
Ho5 Ho 0.616 0.858 0.617
Ho6 Ho 0.617 0.616 0.858
Ho7 Ho 0.858 0.617 0.616
Zr1 Zr 0.500 0.500 0.500
# Crystal system ... trigonal
# E_tot ... -4.6575 eV/atom
# Formation energy from the elements ... 4.45 eV/f.u.

---

# ReOsSCl2 PBE optimized geometry
data_ReOsSCl2
_chemical_formula_sum 'Re1 Os1 S1 Cl2'
_cell_length_a 4.482
_cell_length_b 4.482
_cell_length_c 5.095
_cell_angle_alpha 90.00
_cell_angle_beta 90.00
_cell_angle_gamma 90.00
_symmetry_space_group_name_H-M 'P 1'
_symmetry_Int_Tables_number 1
_symmetry_space_group_name_Hall 'P 1'
loop_
_atom_site_label
_atom_site_type_symbol
_atom_site_fract_x
_atom_site_fract_y
_atom_site_fract_z
Re1 Re 0.000 0.000 0.000
Os1 Os 0.000 0.000 0.500
S1 S 0.500 0.500 0.500
Cl1 Cl 0.000 0.500 0.000
Cl2 Cl 0.500 0.000 0.000
# E above lowest polymorph ... 0 meV/atom
# Crystal system ... tetragonal
# E_tot ... -5.0249 eV/atom
# Energy relative to the elements, uncorrected ... 1.275 eV per atom

---

# Mn6FeOs4 PBE optimized geometry
data_Mn6FeOs4
_chemical_formula_sum 'Mn12 Fe2 Os8'
_cell_length_a 8.480
_cell_length_b 8.480
_cell_length_c 5.207
_cell_angle_alpha 98.80
_cell_angle_beta 98.80
_cell_angle_gamma 51.86
_symmetry_space_group_name_H-M 'P 1'
_symmetry_Int_Tables_number 1
_symmetry_space_group_name_Hall 'P 1'
loop_
_atom_site_label
_atom_site_type_symbol
_atom_site_fract_x
_atom_site_fract_y
_atom_site_fract_z
Mn1 Mn 0.000 0.000 0.000
Mn2 Mn 0.001 0.486 0.127
Mn3 Mn 0.002 0.002 0.533
Mn4 Mn 0.009 0.478 0.635
Mn5 Mn 0.173 0.662 0.721
Mn6 Mn 0.334 0.334 0.924
Mn7 Mn 0.354 0.794 0.533
Mn8 Mn 0.478 0.009 0.635
Mn9 Mn 0.486 0.001 0.127
Mn10 Mn 0.662 0.173 0.721
Mn11 Mn 0.669 0.669 0.338
Mn12 Mn 0.794 0.354 0.533
Fe1 Fe 0.146 0.146 0.829
Fe2 Fe 0.839 0.839 0.935
Os1 Os 0.148 0.148 0.330
Os2 Os 0.178 0.664 0.225
Os3 Os 0.332 0.332 0.433
Os4 Os 0.364 0.779 0.032
Os5 Os 0.664 0.178 0.225
Os6 Os 0.675 0.675 0.822
Os7 Os 0.779 0.364 0.032
Os8 Os 0.833 0.833 0.437
# Crystal system ... monoclinic
# E_tot ... -9.6851 eV/atom
# Formation energy from the elements ... 1.86 eV/f.u.

---

# K2TbDyS4 PBE optimized geometry
data_K2TbDyS4
_chemical_formula_sum 'K2 Tb1 Dy1 S4'
_cell_length_a 7.035
_cell_length_b 4.062
_cell_length_c 7.733
_cell_angle_alpha 90.00
_cell_angle_beta 107.63
_cell_angle_gamma 90.00
_symmetry_space_group_name_H-M 'P 1'
_symmetry_Int_Tables_number 1
_symmetry_space_group_name_Hall 'P 1'
loop_
_atom_site_label
_atom_site_type_symbol
_atom_site_fract_x
_atom_site_fract_y
_atom_site_fract_z
K1 K 0.000 0.000 0.000
K2 K 0.500 0.500 0.000
Tb1 Tb 0.000 0.500 0.500
Dy1 Dy 0.500 0.000 0.500
S1 S 0.235 0.000 0.702
S2 S 0.267 0.500 0.298
S3 S 0.733 0.500 0.702
S4 S 0.765 0.000 0.298
# Crystal system ... monoclinic
# E_tot ... -5.3810 eV/atom
# Energy relative to the elements, uncorrected ... -1.889 eV per atom

---

Number 1: size of the total moment 0.000 μB per atom. Number 2: size of the total moment 0.089 μB per atom. Number 3: size of the total moment 0.096 μB per atom. Number 4: size of the total moment 0.000 μB per atom.